Material: SrCuSeO2
Method: DFT, GGA-PBE
State: optimized geometry

Calculated values
Crystal system: tetragonal
E in eV per atom: -4.60
Total moment in μB per formula unit: 0.8
Raw formation energy in eV per formula unit: -3.83

Lattice parameters (Å, degrees): 4.1618 4.6688 4.1618 90.00 90.00 90.00
With the nearest neighbours (Å) after each atom.
Positions (direct):
1 Cu 0.0000 0.0000 0.0000  4 O 2.08
2 Sr 0.5000 0.5000 0.5000  4 Se 2.94, 8 O 3.13
3 O 0.0000 0.0000 0.5000  2 Cu 2.08
4 O 0.5000 0.0000 0.0000  2 Cu 2.08
5 Se 0.0000 0.5000 0.0000  2 Cu 2.33